Entry 1:
Below is a relaxed structure of HfSi2Ni2, with properties calculated at the PBE level.

a = 7.0244 Å, b = 7.0244 Å, c = 2.7052 Å
α = 90.00°, β = 90.00°, γ = 90.00°
Last column: nearest neighbours and their distance in Å.
Fractional coordinates of all 10 atoms:
Ni  0.3743  0.8743  0.0000  6 Si 2.47-2.48, 3 Ni 2.50-2.71
Ni  0.8743  0.6257  0.0000  6 Si 2.47-2.48, 3 Ni 2.50-2.71
Ni  0.6257  0.1257  0.0000  6 Si 2.47-2.48, 3 Ni 2.50-2.71
Ni  0.1257  0.3743  0.0000  6 Si 2.47-2.48, 3 Ni 2.50-2.71
Si  0.1651  0.6651  0.5000  6 Ni 2.47-2.48, 2 Si 2.71
Si  0.6651  0.8349  0.5000  6 Ni 2.47-2.48, 2 Si 2.71
Si  0.8349  0.3349  0.5000  6 Ni 2.47-2.48, 2 Si 2.71
Si  0.3349  0.1651  0.5000  6 Ni 2.47-2.48, 2 Si 2.71
Hf  0.0000  0.0000  0.0000  2 Hf 2.71, 4 Ni 2.77, 8 Si 2.95
Hf  0.5000  0.5000  0.0000  2 Hf 2.71, 4 Ni 2.77, 8 Si 2.95

Output
Calculated volume (A^3/atom): 13.35
SG: P4/mbm
Total energy (eV/atom): -6.882
Formation energy from raw total energies (eV/atom): -0.41

Entry 2:
Below is a relaxed structure of Hf2SiNi, with properties calculated at the PBE level.

a = 4.5581 Å, b = 4.5581 Å, c = 4.5581 Å
α = 60.00°, β = 60.00°, γ = 60.00°
Last column: nearest neighbours and their distance in Å.
Fractional coordinates of all 4 atoms:
Ni  0.5000  0.5000  0.5000  8 Hf 2.79
Si  0.0000  0.0000  0.0000  8 Hf 2.79
Hf  0.2500  0.2500  0.2500  4 Si 2.79, 4 Ni 2.79
Hf  0.7500  0.7500  0.7500  4 Ni 2.79, 4 Si 2.79

Output
Calculated volume (A^3/atom): 16.74
SG: Fm-3m
Total energy (eV/atom): -8.154
Formation energy from raw total energies (eV/atom): -0.38

Entry 3:
Below is a relaxed structure of HfSi3Ni, with properties calculated at the PBE level.

a = 4.3902 Å, b = 4.3902 Å, c = 4.3902 Å
α = 90.00°, β = 90.00°, γ = 90.00°
Last column: nearest neighbours and their distance in Å.
Fractional coordinates of all 5 atoms:
Ni  0.0000  0.0000  0.0000  6 Si 2.20
Si  0.0000  0.5000  0.0000  2 Ni 2.20
Si  0.0000  0.0000  0.5000  2 Ni 2.20
Si  0.5000  0.0000  0.0000  2 Ni 2.20
Hf  0.5000  0.5000  0.5000  12 Si 3.10

Output
Calculated volume (A^3/atom): 16.92
SG: Pm-3m
Total energy (eV/atom): -6.041
Formation energy from raw total energies (eV/atom): 0.36

Entry 4:
Below is a relaxed structure of HfSiNi, with properties calculated at the PBE level.

a = 4.1647 Å, b = 4.1647 Å, c = 4.1647 Å
α = 60.00°, β = 60.00°, γ = 60.00°
Last column: nearest neighbours and their distance in Å.
Fractional coordinates of all 3 atoms:
Ni  0.5000  0.5000  0.5000  4 Si 2.55
Si  0.2500  0.2500  0.2500  4 Hf 2.55, 4 Ni 2.55
Hf  0.0000  0.0000  0.0000  4 Si 2.55

Output
Calculated volume (A^3/atom): 17.03
SG: F-43m
Total energy (eV/atom): -7.356
Formation energy from raw total energies (eV/atom): -0.30

Entry 5:
Below is a relaxed structure of Hf3Si2Ni6, with properties calculated at the PBE level.

a = 7.3101 Å, b = 7.3101 Å, c = 7.3101 Å
α = 109.47°, β = 109.47°, γ = 109.47°
Last column: nearest neighbours and their distance in Å.
Fractional coordinates of all 22 atoms:
Hf  0.7214  0.0000  0.7214  8 Ni 2.70-2.88, 4 Si 2.99
Hf  0.2786  0.0000  0.2786  8 Ni 2.70-2.88, 4 Si 2.99
Hf  0.0000  0.2786  0.2786  8 Ni 2.70-2.88, 4 Si 2.99
Hf  0.0000  0.7214  0.7214  8 Ni 2.70-2.88, 4 Si 2.99
Hf  0.2786  0.2786  0.0000  8 Ni 2.70-2.88, 4 Si 2.99
Hf  0.7214  0.7214  0.0000  8 Ni 2.70-2.88, 4 Si 2.99
Si  0.0000  0.5000  0.0000  6 Ni 2.35
Si  0.5000  0.0000  0.0000  6 Ni 2.35
Si  0.0000  0.0000  0.5000  6 Ni 2.35
Si  0.5000  0.5000  0.5000  6 Ni 2.35
Ni  0.6636  0.3272  0.6636  2 Si 2.35, 4 Ni 2.44
Ni  0.6636  0.0000  0.3364  2 Si 2.35, 4 Ni 2.44
Ni  0.3364  0.0000  0.6636  2 Si 2.35, 4 Ni 2.44
Ni  0.3364  0.6728  0.3364  2 Si 2.35, 4 Ni 2.44
Ni  0.0000  0.6636  0.3364  2 Si 2.35, 4 Ni 2.44
Ni  0.6728  0.3364  0.3364  2 Si 2.35, 4 Ni 2.44
Ni  0.3272  0.6636  0.6636  2 Si 2.35, 4 Ni 2.44
Ni  0.0000  0.3364  0.6636  2 Si 2.35, 4 Ni 2.44
Ni  0.3364  0.6636  0.0000  2 Si 2.35, 4 Ni 2.44
Ni  0.6636  0.6636  0.3272  2 Si 2.35, 4 Ni 2.44
Ni  0.3364  0.3364  0.6728  2 Si 2.35, 4 Ni 2.44
Ni  0.6636  0.3364  0.0000  2 Si 2.35, 4 Ni 2.44

Output
Calculated volume (A^3/atom): 13.67
SG: Im-3m
Total energy (eV/atom): -7.538
Formation energy from raw total energies (eV/atom): -0.68

Entry 6:
Below is a relaxed structure of Hf3Si3Ni, with properties calculated at the PBE level.

a = 3.8316 Å, b = 5.2471 Å, c = 12.2318 Å
α = 84.54°, β = 80.99°, γ = 68.59°
Last column: nearest neighbours and their distance in Å.
Fractional coordinates of all 14 atoms:
Hf  0.5204  0.3367  0.6225  6 Si 2.69-2.85, 3 Ni 2.81-2.85
Hf  0.4796  0.6633  0.3775  6 Si 2.69-2.85, 3 Ni 2.81-2.85
Hf  0.2530  0.2675  0.2265  6 Si 2.72-2.87, 2 Ni 2.92
Hf  0.7470  0.7325  0.7735  6 Si 2.72-2.87, 2 Ni 2.92
Hf  0.3928  0.2939  0.9205  7 Si 2.70-2.91
Hf  0.6072  0.7061  0.0795  7 Si 2.70-2.91
Si  0.8637  0.7294  0.5432  3 Ni 2.27-2.42, 1 Si 2.51
Si  0.1363  0.2706  0.4568  3 Ni 2.27-2.42, 1 Si 2.51
Si  0.1150  0.8457  0.9242  2 Si 2.42-2.43, 1 Hf 2.70
Si  0.8850  0.1543  0.0758  2 Si 2.42-2.43, 1 Hf 2.70
Si  0.9674  0.8310  0.2342  1 Ni 2.34, 1 Si 2.43
Si  0.0326  0.1690  0.7658  1 Ni 2.34, 1 Si 2.43
Ni  0.7618  0.0807  0.3956  4 Si 2.27-2.42
Ni  0.2382  0.9193  0.6044  4 Si 2.27-2.42

Output
Calculated volume (A^3/atom): 16.14
SG: C2/m
Total energy (eV/atom): -8.275
Formation energy from raw total energies (eV/atom): -0.86

Entry 7:
Below is a relaxed structure of Hf3Si4Ni2, with properties calculated at the PBE level.

a = 3.9338 Å, b = 5.1921 Å, c = 7.6422 Å
α = 107.71°, β = 90.00°, γ = 112.26°
Last column: nearest neighbours and their distance in Å.
Fractional coordinates of all 9 atoms:
Hf  0.6305  0.2610  0.6928  8 Si 2.71-3.03, 4 Ni 2.80-2.91
Hf  0.0000  0.0000  0.0000  8 Si 2.81-3.01
Hf  0.3695  0.7390  0.3072  8 Si 2.71-3.03, 4 Ni 2.80-2.91
Si  0.7197  0.4393  0.0680  1 Ni 2.22, 2 Si 2.38
Si  0.2803  0.5607  0.9320  1 Ni 2.22, 2 Si 2.38
Si  0.9057  0.8114  0.5830  3 Ni 2.26-2.48
Si  0.0943  0.1886  0.4170  3 Ni 2.26-2.48
Ni  0.6658  0.3317  0.3293  4 Si 2.22-2.48
Ni  0.3342  0.6683  0.6707  4 Si 2.22-2.48

Output
Calculated volume (A^3/atom): 15.16
SG: C2/m
Total energy (eV/atom): -7.788
Formation energy from raw total energies (eV/atom): -0.78

Entry 8:
Below is a relaxed structure of HfSi4Ni4, with properties calculated at the PBE level.

a = 5.5584 Å, b = 5.5584 Å, c = 7.6343 Å
α = 90.00°, β = 90.00°, γ = 90.00°
Last column: nearest neighbours and their distance in Å.
Fractional coordinates of all 18 atoms:
Hf  0.0000  0.0000  0.0000  4 Si 2.80
Hf  0.5000  0.5000  0.5000  4 Si 2.80
Si  0.5000  0.7817  0.8044  5 Ni 2.26-2.34, 1 Si 2.43
Si  0.5000  0.2183  0.8044  5 Ni 2.26-2.34, 1 Si 2.43
Si  0.7817  0.5000  0.1956  5 Ni 2.26-2.34, 1 Si 2.43
Si  0.2183  0.5000  0.1956  5 Ni 2.26-2.34, 1 Si 2.43
Si  0.2817  0.0000  0.3044  5 Ni 2.26-2.34, 1 Si 2.43
Si  0.7183  0.0000  0.3044  5 Ni 2.26-2.34, 1 Si 2.43
Si  0.0000  0.2817  0.6956  5 Ni 2.26-2.34, 1 Si 2.43
Si  0.0000  0.7183  0.6956  5 Ni 2.26-2.34, 1 Si 2.43
Ni  0.2254  0.5000  0.8992  5 Si 2.26-2.34, 1 Ni 2.51
Ni  0.7746  0.5000  0.8992  5 Si 2.26-2.34, 1 Ni 2.51
Ni  0.5000  0.7746  0.1008  5 Si 2.26-2.34, 1 Ni 2.51
Ni  0.5000  0.2254  0.1008  5 Si 2.26-2.34, 1 Ni 2.51
Ni  0.0000  0.7254  0.3992  5 Si 2.26-2.34, 1 Ni 2.51
Ni  0.0000  0.2746  0.3992  5 Si 2.26-2.34, 1 Ni 2.51
Ni  0.2746  0.0000  0.6008  5 Si 2.26-2.34, 1 Ni 2.51
Ni  0.7254  0.0000  0.6008  5 Si 2.26-2.34, 1 Ni 2.51

Output
Calculated volume (A^3/atom): 13.10
SG: P4_2/nmc
Total energy (eV/atom): -6.561
Formation energy from raw total energies (eV/atom): -0.48